# 1
{
  "formula": "PmHfMgGa",
  "functional": "PBE",
  "state": "relaxed",
  "lattice": [[0.000, 3.556, 3.556], [3.556, 0.000, 3.556], [3.556, 3.556, 0.000]],
  "species": ["Pm", "Hf", "Mg", "Ga"],
  "frac_coords": [[0.000, 0.000, 0.000], [0.500, 0.500, 0.500], [0.750, 0.750, 0.750], [0.250, 0.250, 0.250]],
  "dos_ef_per_ev_atom": 0.698,
  "vol_a3_per_cell": 90.0,
  "magnetic_moment_mub_per_fu": 0.00,
  "rho_kg_m3": 7707,
  "ef_ev_per_fu": -0.5
}

# 2
{
  "formula": "HfMgGa2Rh2",
  "functional": "PBE",
  "state": "relaxed",
  "lattice": [[4.365, 0.000, 0.000], [-2.183, 3.781, 0.000], [0.000, 0.000, 5.962]],
  "species": ["Hf", "Mg", "Ga", "Ga", "Rh", "Rh"],
  "frac_coords": [[0.000, 0.000, 0.000], [0.000, 0.000, 0.500], [0.333, 0.667, 0.252], [0.667, 0.333, 0.748], [0.333, 0.667, 0.746], [0.667, 0.333, 0.254]],
  "dos_ef_per_ev_atom": 0.530,
  "vol_a3_per_cell": 98.4,
  "magnetic_moment_mub_per_fu": 0.00,
  "rho_kg_m3": 9248,
  "ef_ev_per_fu": -3.7
}

# 3
{
  "formula": "Hf2MgGaRh",
  "functional": "PBE",
  "state": "relaxed",
  "lattice": [[4.957, 0.000, 0.000], [0.000, 4.957, 0.000], [0.000, 0.000, 4.437]],
  "species": ["Hf", "Hf", "Mg", "Ga", "Rh"],
  "frac_coords": [[0.000, 0.500, 0.000], [0.500, 0.000, 0.000], [0.000, 0.000, 0.000], [0.000, 0.000, 0.500], [0.500, 0.500, 0.500]],
  "dos_ef_per_ev_atom": 1.110,
  "vol_a3_per_cell": 109.0,
  "magnetic_moment_mub_per_fu": 0.00,
  "rho_kg_m3": 8437,
  "ef_ev_per_fu": 6.0
}